This record from the Alexandria database describes an optimized crystal structure of Co2SiPb. The functional is PBE-GGA.

Cell: 2.9383 2.9383 6.7462 Å, 90.00 90.00 90.00°
Last column: nearest neighbours and their distance in Å.
Space group P4/mmm (No. 123)
Symmetry-distinct sites (fractional):
Co 0.0000 0.0000 0.1852 x2  4 Si 2.42, 1 Co 2.50
Si 0.5000 0.5000 0.0000 x1  8 Co 2.42
Pb 0.5000 0.5000 0.5000 x1  4 Pb 2.94, 8 Co 2.97

Properties
energy relative to the elements, uncorrected: 106.3 meV per atom
density of states at the Fermi level: 3.10 states/eV per cell
magnetic moment: 0.96 μB per cell

=====

This record from the Alexandria database describes an optimized crystal structure of Cs3TlBi4. The functional is PBE-GGA.

Cell: 6.3844 6.5820 21.3266 Å, 90.00 90.00 90.00°
Last column: nearest neighbours and their distance in Å.
Space group Immm (No. 71)
Symmetry-distinct sites (fractional):
Cs 0.0000 0.0000 0.0000 x2  8 Bi 4.33, 4 Tl 4.58
Cs 0.0000 0.5000 0.1966 x4  6 Bi 4.03-4.20
Tl 0.0000 0.0000 0.5000 x2  4 Bi 3.13
Bi 0.0000 0.2777 0.3811 x8  1 Bi 2.93, 1 Tl 3.13

Properties
density of states at the Fermi level: 10.81 states/eV per cell
magnetic moment: 0.00 μB per cell
ΔE_f: -0.16 eV per atom

=====

This record from the Alexandria database describes an optimized crystal structure of BaRhW2. The functional is PBE-GGA.

Cell: 5.4795 10.3341 2.8504 Å, 90.00 90.00 90.00°
Last column: nearest neighbours and their distance in Å.
Space group Cmmm (No. 65)
Symmetry-distinct sites (fractional):
Ba 0.0000 0.0000 0.0000 x2  2 Rh 2.74, 2 Ba 2.85
Rh 0.0000 0.5000 0.0000 x2  2 Ba 2.74, 2 Rh 2.85
W 0.2500 0.2500 0.5000 x4  4 W 2.74-2.85

Properties
density of states at the Fermi level: 7.65 states/eV per cell
magnetic moment: 0.00 μB per cell
ΔE_f: 1.34 eV per atom

=====

This record from the Alexandria database describes an optimized crystal structure of LiSmPuSe3. The functional is PBE-GGA.

Cell: 8.4884 4.0266 8.9042 Å, 90.00 102.05 90.00°
Last column: nearest neighbours and their distance in Å.
Space group P2_1/m (No. 11)
Symmetry-distinct sites (fractional):
Li 0.0871 0.2500 0.0831 x2  4 Se 2.52-2.54, 2 Li 2.74
Sm 0.1805 0.2500 0.7232 x2  7 Se 2.97-3.09
Pu 0.3347 0.7500 0.3330 x2  6 Se 2.90-3.01
Se 0.0916 0.2500 0.3680 x2  1 Li 2.53
Se 0.2183 0.7500 0.9896 x2  3 Li 2.52-2.54
Se 0.4198 0.7500 0.6699 x2  3 Pu 2.90-2.94, 2 Sm 2.97

Properties
energy relative to the elements, uncorrected: -1540.1 meV per atom
density of states at the Fermi level: 25.43 states/eV per cell
magnetic moment: 11.52 μB per cell

=====

Which of these has the highest density of states at the Fermi level?
LiSmPuSe3

=====

Number 4 is which compound?
LiSmPuSe3